Run A
{"formula": "PrZn9Pt2", "functional": "PBE", "state": "relaxed", "n_ef_per_ev_cell": 11.36, "magmom_total_mub_per_fu": 0.0, "space_group": "No. 141", "cell": [[-5.333, 5.333, 3.471], [5.333, -5.333, 3.471], [5.333, 5.333, -3.471]], "species": ["Pr", "Pr", "Zn", "Zn", "Zn", "Zn", "Zn", "Zn", "Zn", "Zn", "Zn", "Zn", "Zn", "Zn", "Zn", "Zn", "Zn", "Zn", "Zn", "Zn", "Pt", "Pt", "Pt", "Pt"], "fractional_positions": [[0.375, 0.625, 0.750], [0.625, 0.375, 0.250], [0.125, 0.875, 0.250], [0.135, 0.556, 0.335], [0.135, 0.800, 0.578], [0.200, 0.278, 0.335], [0.200, 0.865, 0.922], [0.278, 0.200, 0.835], [0.278, 0.444, 0.078], [0.444, 0.278, 0.578], [0.444, 0.865, 0.165], [0.556, 0.135, 0.835], [0.556, 0.722, 0.422], [0.722, 0.556, 0.922], [0.722, 0.800, 0.165], [0.800, 0.135, 0.078], [0.800, 0.722, 0.665], [0.865, 0.200, 0.422], [0.865, 0.444, 0.665], [0.875, 0.125, 0.750], [0.000, 0.000, 0.000], [0.000, 0.000, 0.500], [0.000, 0.500, 0.000], [0.500, 0.000, 0.500]]}



Run B
{"formula": "PrZn9Pt2", "functional": "PBE", "state": "relaxed", "n_ef_per_ev_cell": 5.13, "magmom_total_mub_per_fu": 0.0, "space_group": "No. 191", "cell": [[8.583, 0.000, 0.000], [-4.291, 7.433, 0.000], [0.000, 0.000, 3.305]], "species": ["Pr", "Zn", "Zn", "Zn", "Zn", "Zn", "Zn", "Zn", "Zn", "Zn", "Pt", "Pt"], "fractional_positions": [[0.000, 0.000, 0.000], [0.000, 0.500, 0.000], [0.190, 0.380, 0.500], [0.190, 0.810, 0.500], [0.380, 0.190, 0.500], [0.500, 0.000, 0.000], [0.500, 0.500, 0.000], [0.620, 0.810, 0.500], [0.810, 0.190, 0.500], [0.810, 0.620, 0.500], [0.333, 0.667, 0.000], [0.667, 0.333, 0.000]]}



Least stable: run B



Run A
{"formula": "PrZrPt", "functional": "PBE", "state": "relaxed", "n_ef_per_ev_cell": 4.19, "magmom_total_mub_per_fu": 0.0, "space_group": "No. 107", "cell": [[-1.753, 1.753, 6.008], [1.753, -1.753, 6.008], [1.753, 1.753, -6.008]], "species": ["Pr", "Zr", "Pt"], "fractional_positions": [[0.000, 0.000, 0.000], [0.290, 0.290, 0.000], [0.690, 0.690, 0.000]]}



Run B
{"formula": "PrZrPt", "functional": "PBE", "state": "relaxed", "n_ef_per_ev_cell": 4.95, "magmom_total_mub_per_fu": 0.0, "space_group": "No. 129", "cell": [[4.736, 0.000, 0.000], [0.000, 4.736, 0.000], [0.000, 0.000, 6.891]], "species": ["Pr", "Pr", "Zr", "Zr", "Pt", "Pt"], "fractional_positions": [[0.250, 0.250, 0.122], [0.750, 0.750, 0.878], [0.250, 0.750, 0.500], [0.750, 0.250, 0.500], [0.250, 0.250, 0.696], [0.750, 0.750, 0.304]]}



Least stable: run A



Run A
{"formula": "Pr3Pu", "functional": "PBE", "state": "relaxed", "n_ef_per_ev_cell": 13.74, "magmom_total_mub_per_fu": 6.4, "space_group": "No. 25", "cell": [[3.640, 0.000, 0.000], [0.000, 5.931, 0.000], [0.000, 0.000, 6.350]], "species": ["Pr", "Pr", "Pr", "Pu"], "fractional_positions": [[0.000, 0.000, 0.000], [0.000, 0.500, 0.334], [0.500, 0.000, 0.507], [0.500, 0.500, 0.831]]}



Run B
{"formula": "Pr3Pu", "functional": "PBE", "state": "relaxed", "n_ef_per_ev_cell": 12.64, "magmom_total_mub_per_fu": 6.6, "space_group": "No. 139", "cell": [[-2.556, 2.556, 5.173], [2.556, -2.556, 5.173], [2.556, 2.556, -5.173]], "species": ["Pr", "Pr", "Pr", "Pu"], "fractional_positions": [[0.000, 0.000, 0.000], [0.250, 0.750, 0.500], [0.750, 0.250, 0.500], [0.500, 0.500, 0.000]]}



Least stable: run A



Run A
{"formula": "Pr2PuRh2", "functional": "PBE", "state": "relaxed", "n_ef_per_ev_cell": 17.71, "magmom_total_mub_per_fu": 5.7, "space_group": "No. 15", "cell": [[5.323, -3.029, 0.000], [5.323, 3.029, 0.000], [-1.621, 0.000, 7.684]], "species": ["Pr", "Pr", "Pr", "Pr", "Pu", "Pu", "Rh", "Rh", "Rh", "Rh"], "fractional_positions": [[0.027, 0.275, 0.150], [0.275, 0.027, 0.650], [0.725, 0.973, 0.350], [0.973, 0.725, 0.850], [0.380, 0.620, 0.250], [0.620, 0.380, 0.750], [0.230, 0.493, 0.493], [0.493, 0.230, 0.993], [0.507, 0.770, 0.007], [0.770, 0.507, 0.507]]}



Run B
{"formula": "Pr2PuRh2", "functional": "PBE", "state": "relaxed", "n_ef_per_ev_cell": 24.95, "magmom_total_mub_per_fu": 5.8, "space_group": "No. 72", "cell": [[-4.010, 5.413, 3.035], [4.010, -5.413, 3.035], [4.010, 5.413, -3.035]], "species": ["Pr", "Pr", "Pr", "Pr", "Pu", "Pu", "Rh", "Rh", "Rh", "Rh"], "fractional_positions": [[0.164, 0.135, 0.299], [0.336, 0.635, 0.971], [0.664, 0.365, 0.029], [0.836, 0.865, 0.701], [0.250, 0.750, 0.500], [0.750, 0.250, 0.500], [0.093, 0.771, 0.864], [0.407, 0.271, 0.678], [0.593, 0.729, 0.322], [0.907, 0.229, 0.136]]}



Least stable: run B



Run A
{"formula": "PrPu2Rh", "functional": "PBE", "state": "relaxed", "n_ef_per_ev_cell": 16.88, "magmom_total_mub_per_fu": 11.4, "space_group": "No. 166", "cell": [[1.794, 1.036, 10.202], [-1.794, 1.036, 10.202], [0.000, -2.071, 10.202]], "species": ["Pr", "Pu", "Pu", "Rh"], "fractional_positions": [[0.000, 0.000, 0.000], [0.106, 0.106, 0.106], [0.894, 0.894, 0.894], [0.500, 0.500, 0.500]]}



Run B
{"formula": "PrPu2Rh", "functional": "PBE", "state": "relaxed", "n_ef_per_ev_cell": 113.51, "magmom_total_mub_per_fu": 11.9, "space_group": "No. 62", "cell": [[14.688, 0.000, 0.000], [0.000, 9.626, 0.000], [0.000, 0.000, 6.035]], "species": ["Pr", "Pr", "Pr", "Pr", "Pr", "Pr", "Pr", "Pr", "Pu", "Pu", "Pu", "Pu", "Pu", "Pu", "Pu", "Pu", "Pu", "Pu", "Pu", "Pu", "Pu", "Pu", "Pu", "Pu", "Rh", "Rh", "Rh", "Rh", "Rh", "Rh", "Rh", "Rh"], "fractional_positions": [[0.108, 0.250, 0.242], [0.143, 0.750, 0.967], [0.357, 0.250, 0.467], [0.392, 0.750, 0.742], [0.608, 0.250, 0.258], [0.643, 0.750, 0.533], [0.857, 0.250, 0.033], [0.892, 0.750, 0.758], [0.037, 0.057, 0.745], [0.037, 0.443, 0.745], [0.214, 0.558, 0.456], [0.214, 0.942, 0.456], [0.286, 0.058, 0.956], [0.286, 0.442, 0.956], [0.463, 0.557, 0.245], [0.463, 0.943, 0.245], [0.537, 0.057, 0.755], [0.537, 0.443, 0.755], [0.714, 0.558, 0.044], [0.714, 0.942, 0.044], [0.786, 0.058, 0.544], [0.786, 0.442, 0.544], [0.963, 0.557, 0.255], [0.963, 0.943, 0.255], [0.071, 0.750, 0.486], [0.179, 0.250, 0.732], [0.321, 0.750, 0.232], [0.429, 0.250, 0.986], [0.571, 0.750, 0.014], [0.679, 0.250, 0.768], [0.821, 0.750, 0.268], [0.929, 0.250, 0.514]]}



Least stable: run A



Run A
{"formula": "PrPuS2", "functional": "PBE", "state": "relaxed", "n_ef_per_ev_cell": 6.43, "magmom_total_mub_per_fu": 5.3, "space_group": "No. 160", "cell": [[1.964, 1.134, 7.050], [-1.964, 1.134, 7.050], [0.000, -2.268, 7.050]], "species": ["Pr", "Pu", "S", "S"], "fractional_positions": [[0.000, 0.000, 0.000], [0.175, 0.175, 0.175], [0.582, 0.582, 0.582], [0.759, 0.759, 0.759]]}



Run B
{"formula": "PrPuS2", "functional": "PBE", "state": "relaxed", "n_ef_per_ev_cell": 8.16, "magmom_total_mub_per_fu": 5.6, "space_group": "No. 166", "cell": [[2.010, 1.161, 6.616], [-2.010, 1.161, 6.616], [0.000, -2.321, 6.616]], "species": ["Pr", "Pu", "S", "S"], "fractional_positions": [[0.000, 0.000, 0.000], [0.500, 0.500, 0.500], [0.245, 0.245, 0.245], [0.755, 0.755, 0.755]]}



Least stable: run A



Run A
{"formula": "Pr2PuS4", "functional": "PBE", "state": "relaxed", "n_ef_per_ev_cell": 28.68, "magmom_total_mub_per_fu": 5.5, "space_group": "No. 63", "cell": [[1.992, -6.760, 0.000], [1.992, 6.760, 0.000], [0.000, 0.000, 13.434]], "species": ["Pr", "Pr", "Pr", "Pr", "Pu", "Pu", "S", "S", "S", "S", "S", "S", "S", "S"], "fractional_positions": [[0.132, 0.868, 0.571], [0.132, 0.868, 0.929], [0.868, 0.132, 0.071], [0.868, 0.132, 0.429], [0.378, 0.622, 0.750], [0.622, 0.378, 0.250], [0.023, 0.977, 0.750], [0.224, 0.776, 0.125], [0.224, 0.776, 0.375], [0.500, 0.500, 0.000], [0.500, 0.500, 0.500], [0.776, 0.224, 0.625], [0.776, 0.224, 0.875], [0.977, 0.023, 0.250]]}



Run B
{"formula": "Pr2PuS4", "functional": "PBE", "state": "relaxed", "n_ef_per_ev_cell": 9.53, "magmom_total_mub_per_fu": 5.5, "space_group": "No. 65", "cell": [[4.131, -5.710, 0.000], [4.131, 5.710, 0.000], [0.000, 0.000, 4.084]], "species": ["Pr", "Pr", "Pu", "S", "S", "S", "S"], "fractional_positions": [[0.000, 0.500, 0.000], [0.500, 0.000, 0.000], [0.000, 0.000, 0.500], [0.225, 0.225, 0.000], [0.247, 0.753, 0.500], [0.753, 0.247, 0.500], [0.775, 0.775, 0.000]]}



Least stable: run A



Run A
{"formula": "PrPuS3", "functional": "PBE", "state": "relaxed", "n_ef_per_ev_cell": 33.32, "magmom_total_mub_per_fu": 5.0, "space_group": "No. 62", "cell": [[7.431, 0.000, 0.000], [0.000, 4.029, 0.000], [0.000, 0.000, 15.470]], "species": ["Pr", "Pr", "Pr", "Pr", "Pu", "Pu", "Pu", "Pu", "S", "S", "S", "S", "S", "S", "S", "S", "S", "S", "S", "S"], "fractional_positions": [[0.137, 0.250, 0.203], [0.363, 0.750, 0.703], [0.637, 0.250, 0.297], [0.863, 0.750, 0.797], [0.231, 0.750, 0.460], [0.269, 0.250, 0.960], [0.731, 0.750, 0.040], [0.769, 0.250, 0.540], [0.012, 0.250, 0.396], [0.128, 0.750, 0.064], [0.152, 0.250, 0.785], [0.348, 0.750, 0.285], [0.372, 0.250, 0.564], [0.488, 0.750, 0.896], [0.512, 0.250, 0.104], [0.628, 0.750, 0.436], [0.652, 0.250, 0.715], [0.848, 0.750, 0.215], [0.872, 0.250, 0.936], [0.988, 0.750, 0.604]]}



Run B
{"formula": "PrPuS3", "functional": "PBE", "state": "relaxed", "n_ef_per_ev_cell": 14.68, "magmom_total_mub_per_fu": 5.0, "space_group": "No. 59", "cell": [[4.027, 0.000, 0.000], [0.000, 6.610, 0.000], [0.000, 0.000, 8.821]], "species": ["Pr", "Pr", "Pu", "Pu", "S", "S", "S", "S", "S", "S"], "fractional_positions": [[0.250, 0.250, 0.148], [0.750, 0.750, 0.852], [0.250, 0.750, 0.400], [0.750, 0.250, 0.600], [0.250, 0.519, 0.667], [0.250, 0.750, 0.073], [0.250, 0.981, 0.667], [0.750, 0.019, 0.333], [0.750, 0.250, 0.927], [0.750, 0.481, 0.333]]}



Least stable: run B



Run A
{"formula": "Pr3PuSb4", "functional": "PBE", "state": "relaxed", "n_ef_per_ev_cell": 19.99, "magmom_total_mub_per_fu": 5.1, "space_group": "No. 221", "cell": [[6.405, 0.000, 0.000], [0.000, 6.405, 0.000], [0.000, 0.000, 6.405]], "species": ["Pr", "Pr", "Pr", "Pu", "Sb", "Sb", "Sb", "Sb"], "fractional_positions": [[0.000, 0.000, 0.500], [0.000, 0.500, 0.000], [0.500, 0.000, 0.000], [0.500, 0.500, 0.500], [0.000, 0.000, 0.000], [0.000, 0.500, 0.500], [0.500, 0.000, 0.500], [0.500, 0.500, 0.000]]}



Run B
{"formula": "Pr3PuSb4", "functional": "PBE", "state": "relaxed", "n_ef_per_ev_cell": 16.64, "magmom_total_mub_per_fu": 5.0, "space_group": "No. 65", "cell": [[4.525, -6.399, 0.000], [4.525, 6.399, 0.000], [0.000, 0.000, 4.531]], "species": ["Pr", "Pr", "Pr", "Pu", "Sb", "Sb", "Sb", "Sb"], "fractional_positions": [[0.000, 0.000, 0.000], [0.000, 0.500, 0.500], [0.500, 0.000, 0.500], [0.500, 0.500, 0.000], [0.253, 0.747, 0.000], [0.257, 0.257, 0.500], [0.743, 0.743, 0.500], [0.747, 0.253, 0.000]]}



Least stable: run A



Run A
{"formula": "PrPuSb2", "functional": "PBE", "state": "relaxed", "n_ef_per_ev_cell": 13.47, "magmom_total_mub_per_fu": 5.0, "space_group": "No. 160", "cell": [[2.232, 1.289, 7.574], [-2.232, 1.289, 7.574], [0.000, -2.577, 7.574]], "species": ["Pr", "Pu", "Sb", "Sb"], "fractional_positions": [[0.000, 0.000, 0.000], [0.171, 0.171, 0.171], [0.581, 0.581, 0.581], [0.757, 0.757, 0.757]]}



Run B
{"formula": "PrPuSb2", "functional": "PBE", "state": "relaxed", "n_ef_per_ev_cell": 12.52, "magmom_total_mub_per_fu": 5.8, "space_group": "No. 225", "cell": [[0.000, 3.857, 3.857], [3.857, 0.000, 3.857], [3.857, 3.857, 0.000]], "species": ["Pr", "Pu", "Sb", "Sb"], "fractional_positions": [[0.000, 0.000, 0.000], [0.500, 0.500, 0.500], [0.250, 0.250, 0.250], [0.750, 0.750, 0.750]]}



Run C
{"formula": "PrPuSb2", "functional": "PBE", "state": "relaxed", "n_ef_per_ev_cell": 14.45, "magmom_total_mub_per_fu": 5.0, "space_group": "No. 166", "cell": [[2.248, 1.298, 7.315], [-2.248, 1.298, 7.315], [0.000, -2.596, 7.315]], "species": ["Pr", "Pu", "Sb", "Sb"], "fractional_positions": [[0.000, 0.000, 0.000], [0.500, 0.500, 0.500], [0.246, 0.246, 0.246], [0.754, 0.754, 0.754]]}



Run D
{"formula": "PrPuSb2", "functional": "PBE", "state": "relaxed", "n_ef_per_ev_cell": 11.16, "magmom_total_mub_per_fu": 5.7, "space_group": "No. 123", "cell": [[5.814, 0.000, 0.000], [0.000, 5.814, 0.000], [0.000, 0.000, 3.345]], "species": ["Pr", "Pu", "Sb", "Sb"], "fractional_positions": [[0.000, 0.000, 0.000], [0.500, 0.500, 0.000], [0.000, 0.500, 0.500], [0.500, 0.000, 0.500]]}



Least stable: run B



Run A
{"formula": "PrPuSc2", "functional": "PBE", "state": "relaxed", "n_ef_per_ev_cell": 13.71, "magmom_total_mub_per_fu": 6.1, "space_group": "No. 123", "cell": [[4.834, 0.000, 0.000], [0.000, 4.834, 0.000], [0.000, 0.000, 4.710]], "species": ["Pr", "Pu", "Sc", "Sc"], "fractional_positions": [[0.000, 0.000, 0.000], [0.500, 0.500, 0.000], [0.000, 0.500, 0.500], [0.500, 0.000, 0.500]]}



Run B
{"formula": "PrPuSc2", "functional": "PBE", "state": "relaxed", "n_ef_per_ev_cell": 10.74, "magmom_total_mub_per_fu": 6.1, "space_group": "No. 123", "cell": [[3.402, 0.000, 0.000], [0.000, 3.402, 0.000], [0.000, 0.000, 9.486]], "species": ["Pr", "Pu", "Sc", "Sc"], "fractional_positions": [[0.000, 0.000, 0.000], [0.000, 0.000, 0.500], [0.500, 0.500, 0.266], [0.500, 0.500, 0.734]]}



Least stable: run A